No. 1
Here is an optimized crystal structure of TbPm6Tm2Th from the Alexandria database. Energies are from PBE.

abc: 9.6068 8.8368 8.8368
angles: 115.95 93.68 93.68
Sites, in units of the cell vectors:
Tb: 0.2500 0.4088 0.5912
Tm: 0.0523 0.2939 0.2015
Pm: 0.3135 0.9907 0.4280
Pm: 0.8826 0.2962 0.5165
Tm: 0.5523 0.2015 0.2939
Pm: 0.1174 0.7038 0.4835
Pm: 0.9413 0.8901 0.2367
Tb: 0.7500 0.5912 0.4088
Pm: 0.5587 0.7633 0.1099
Pm: 0.3826 0.5165 0.2962
Tm: 0.9477 0.7061 0.7985
Pm: 0.8135 0.4280 0.9907
Pm: 0.6174 0.4835 0.7038
Th: 0.7500 0.0324 0.9676
Pm: 0.1865 0.5720 0.0093
Pm: 0.0587 0.1099 0.7633
Th: 0.2500 0.9676 0.0324
Tm: 0.4477 0.7985 0.7061
Pm: 0.6865 0.0093 0.5720
Pm: 0.4413 0.2367 0.8901

Properties
The calculation puts the energy at -4.8068 eV per atom. Its space group is C2/c, No. 15.

***

No. 2
Here is an optimized crystal structure of ReTeP2 from the Alexandria database. Energies are from PBE.

abc: 4.5355 4.5355 4.5355
angles: 119.70 119.70 90.52
Sites, in units of the cell vectors:
Re: 0.5000 0.5000 0.0000
Te: 0.7500 0.2500 0.5000
P: 0.2500 0.7500 0.5000
P: 0.0000 0.0000 0.0000

Properties
The calculation puts the energy at -5.8056 eV per atom. The formation energy without anion corrections is 0.797 eV/atom. Its space group is I-4m2, No. 119.

***

No. 3
Here is an optimized crystal structure of Li5Tl2Ag2 from the Alexandria database. Energies are from PBE.

abc: 3.0680 9.6727 6.6122
angles: 111.65 75.56 79.75
Sites, in units of the cell vectors:
Ag: 0.6717 0.3309 0.3430
Li: 0.7721 0.8791 0.5582
Li: 0.0000 0.0000 0.0000
Li: 0.8873 0.4529 0.7521
Li: 0.2279 0.1209 0.4418
Ag: 0.3283 0.6691 0.6570
Tl: 0.5520 0.7791 0.1248
Tl: 0.4480 0.2209 0.8752
Li: 0.1127 0.5471 0.2479

Properties
The calculation puts the energy at -2.3957 eV per atom. The calculation puts the relative energy among the computed polymorphs at 0 meV/atom. Its space group is P-1, No. 2.

***

No. 4
Here is an optimized crystal structure of AsPPbSe2 from the Alexandria database. Energies are from PBE.

abc: 5.5656 5.5656 4.8845
angles: 90.00 90.00 90.00
Sites, in units of the cell vectors:
Se: 0.5000 0.0000 0.0000
P: 0.0000 0.0000 0.0000
Se: 0.0000 0.5000 0.0000
As: 0.0000 0.0000 0.5000
Pb: 0.5000 0.5000 0.5000

Properties
The calculation puts the energy at -3.7465 eV per atom. The formation energy without anion corrections is 0.401 eV/atom. The calculation puts the relative energy among the computed polymorphs at 0 meV/atom. Its space group is P4/mmm, No. 123.